A relaxed AcCdSe3 crystal. Source: Alexandria via LeMat-Bulk, functional PBE.

abc: 5.176 6.622 9.007
angles: 111.57 90.00 90.00
Fractional coordinates of all 10 atoms:
Ac 0.000 0.665 0.329
Ac 0.000 0.335 0.671
Cd 0.500 0.109 0.219
Cd 0.500 0.891 0.781
Se 0.500 0.306 0.000
Se 0.000 0.852 0.705
Se 0.500 0.694 0.000
Se 0.500 0.500 0.500
Se 0.000 0.148 0.295
Se 0.500 0.000 0.500

calculated volume = 28.7 Å³ per atom
spin magnetization = 0.000 μB/atom
SG = Cmmm, No. 65
energy relative to the elements, uncorrected = -0.97 eV per atom